NiTeC | Alexandria via LeMat-Bulk | GGA-PBE | relaxed; volume = 16.018 Å³/atom; uncorrected formation energy = 0.853 eV per atom
1.0
5.468 0.000 0.000
0.000 1.803 2.438
0.000 -1.803 2.438
Ni Te C
1 1 1
Cartesian
0.000 0.000 0.000
2.734 0.000 4.831
0.000 0.000 1.845